The following is a DFT calculation (PBE+U) of an optimized crystal structure of MnF6.

Cell lengths 9.2325, 8.8050, 4.8094 Å; angles 90.00, 90.00, 90.00 degrees
Fractional positions:
Mn (0.1238, 0.2500, 0.0521)
Mn (0.3762, 0.7500, 0.5521)
Mn (0.6238, 0.2500, 0.4479)
Mn (0.8762, 0.7500, 0.9479)
F (0.0214, 0.6188, 0.0570)
F (0.0214, 0.8812, 0.0570)
F (0.0417, 0.2500, 0.4077)
F (0.2013, 0.2500, 0.6905)
F (0.2427, 0.1005, 0.1369)
F (0.2427, 0.3995, 0.1369)
F (0.2573, 0.6005, 0.6369)
F (0.2573, 0.8995, 0.6369)
F (0.2987, 0.7500, 0.1905)
F (0.4583, 0.7500, 0.9077)
F (0.4786, 0.1188, 0.5570)
F (0.4786, 0.3812, 0.5570)
F (0.5214, 0.6188, 0.4430)
F (0.5214, 0.8812, 0.4430)
F (0.5417, 0.2500, 0.0923)
F (0.7013, 0.2500, 0.8095)
F (0.7427, 0.1005, 0.3631)
F (0.7427, 0.3995, 0.3631)
F (0.7573, 0.6005, 0.8631)
F (0.7573, 0.8995, 0.8631)
F (0.7987, 0.7500, 0.3095)
F (0.9583, 0.7500, 0.5923)
F (0.9786, 0.1188, 0.9430)
F (0.9786, 0.3812, 0.9430)

Output
The total energy comes out at -3.997 eV/atom. The crystal system is orthorhombic. The calculation puts the density of states at the Fermi level at 0.504 states/eV/atom.